(1)
The following is a PBE-GGA calculation of a geometry-optimized Rb2AgAsI6 structure, from Alexandria.

Output
Energy relative to the lowest polymorph listed for this composition   16 meV/atom
E_form (uncorrected)   -0.692 eV/atom
Space-group type   No. 139

POSCAR file:
```
Rb2AgAsI6
1.0
-2.5133 4.5169 6.5336
-4.2786 -6.5435 2.8779
1.3331 -2.7710 7.7400
I As Rb Ag
6 1 2 1
direct
0.2542 0.2542 0.4916
0.7458 0.7458 0.5084
0.2544 0.2544 0.0000
0.2544 0.7456 0.0000
0.7456 0.2544 0.0000
0.7456 0.7456 0.0000
0.5000 0.5000 0.0000
0.7500 0.2500 0.5000
0.2500 0.7500 0.5000
0.0000 0.0000 0.0000
```



(2)
The following is a PBE-GGA calculation of a geometry-optimized Sm8Zn2Ru structure, from Alexandria.

Output
Calculated formation energy   -153.1 meV/atom
Energy relative to the lowest polymorph listed for this composition   0 meV/atom
Space-group type   No. 12

POSCAR file:
```
Sm8Zn2Ru
1.0
-4.6777 -1.2608 -1.9011
2.8899 -4.8696 -3.8812
0.3985 -3.5871 8.5216
Ru Sm Zn
1 8 2
direct
0.5000 0.0000 0.0000
0.1996 0.3116 0.3991
0.5894 0.4347 0.1787
0.8004 0.6884 0.6009
0.6574 0.9603 0.3148
0.0282 0.7869 0.0564
0.9718 0.2131 0.9436
0.3426 0.0397 0.6852
0.4106 0.5653 0.8213
0.1914 0.7306 0.3828
0.8086 0.2694 0.6172
```



(3)
The following is a PBE-GGA calculation of a geometry-optimized TlVAg2S4 structure, from Alexandria.

Output
E_form (uncorrected)   -0.437 eV/atom
Space-group type   No. 42

POSCAR file:
```
TlVAg2S4
1.0
-2.1715 2.1259 -5.7374
-5.8550 -2.4718 1.3271
2.7682 4.1705 4.1576
S V Tl Ag
4 1 1 2
direct
0.8291 0.4446 0.2736
0.4446 0.8291 0.2736
0.1688 0.1688 0.7241
0.5552 0.5552 0.7241
0.4994 0.4994 0.9987
0.0030 0.0030 0.0060
0.2501 0.7501 0.5002
0.7501 0.2501 0.5002
```



Number 1: calculated volume 40.861 Å³ per atom, energy -2.566 eV per atom, DOS at the Fermi energy 0.000 states/eV/atom. Number 2: calculated volume 28.023 Å³ per atom, energy -4.660 eV per atom, DOS at the Fermi energy 0.923 states/eV/atom. Number 3: calculated volume 24.342 Å³ per atom, energy -4.649 eV per atom, DOS at the Fermi energy 0.055 states/eV/atom.